VASP calculation (PBE-GGA) on a relaxed AcHoMgGa crystal.

Results
DFT total energy in eV per atom: -3.574
Calculated density in g cm⁻³: 7.12
DOS at the Fermi energy in states/eV/atom: 0.839

Cell lengths 5.431, 5.431, 5.431 Å; angles 60.00, 60.00, 60.00 degrees
Positions (direct):
Ac  0.000  0.000  0.000
Ho  0.500  0.500  0.500
Mg  0.750  0.750  0.750
Ga  0.250  0.250  0.250